# 1
Pu2NpSc3Se6 | PBE | relaxed

extended XYZ file:
```
12
Lattice="-3.1143 0.2303 -2.4657 -3.9812 -5.2896 4.5344 -0.6320 7.5756 4.7163" Properties=species:S:1:pos:R:3 pbc="T T T"
Se -3.0856 3.0408 4.1813
Se -5.1281 0.1600 6.4921
Se -4.6420 -0.5246 2.6037
Se -2.9712 -3.8320 3.3949
Se -2.5994 2.3563 0.2929
Se -4.7564 6.3483 3.3901
Pu -2.0553 0.7799 2.6688
Pu -5.6723 1.7364 4.1162
Sc -4.0648 -1.8569 4.9607
Sc -3.6627 4.3732 1.8244
Sc -3.5477 -2.5296 1.0344
Np -1.5572 0.1152 -1.2328
```

Output
symmetry	C2/m (12)
mass density	8.17	Mg/m³
E_form (uncorrected)	-17.827	eV per formula unit


# 2
AcPm2Ho3 | PBE | relaxed

extended XYZ file:
```
12
Lattice="6.8027 0.0000 0.0000 0.0000 7.4739 2.3741 0.0000 -1.5918 7.6786" Properties=species:S:1:pos:R:3 pbc="T T T"
Ho 1.9391 4.4774 4.1297
Ho 1.9326 5.8818 10.0523
Ho 5.3340 0.0002 0.0004
Ho 5.3405 1.4046 5.9230
Ho 5.3405 4.4754 4.1262
Ho 1.9391 1.4067 5.9265
Pm 0.2362 -0.1011 3.2206
Pm 3.6375 3.0248 8.5630
Pm 0.2362 2.8572 1.4897
Pm 3.6375 5.9831 6.8321
Ac 0.2339 4.3425 7.4215
Ac 3.6353 1.5396 2.6312
```

Output
symmetry	Cmcm (63)
E above lowest polymorph	0	meV per atom
mass density	8.08	Mg/m³


# 3
Pm3Sm6Mg | PBE | relaxed

extended XYZ file:
```
20
Lattice="-0.7606 -5.2247 0.5980 10.4614 -1.4708 0.4564 -0.3206 1.4182 11.9189" Properties=species:S:1:pos:R:3 pbc="T T T"
Sm 2.4626 -4.8803 7.6634
Sm 3.8837 -2.1866 9.3938
Sm 7.9646 -2.5233 11.6376
Sm 7.4590 -0.8912 1.6957
Sm 5.4966 -3.0906 3.5795
Sm 1.9212 -4.3861 11.2777
Sm 1.4156 -2.7539 1.3357
Sm -0.1123 -4.9772 3.5687
Sm 9.4925 -0.3001 9.4047
Sm 7.6189 -2.8929 7.9847
Sm 1.7614 -2.3844 4.9886
Sm 6.9176 -0.3969 5.3099
Pm 8.7233 -3.5016 4.0944
Pm 6.2456 0.1991 9.6371
Pm 4.8504 -3.3477 0.5272
Pm 0.6570 -1.7756 8.8790
Pm -0.1603 0.7091 5.9595
Pm 3.1347 -5.4763 3.3362
Mg 0.0000 0.0000 0.0000
Mg 4.6901 -2.6386 6.4867
```

Output
symmetry	Pnnm (58)
E above lowest polymorph	19	meV per atom
mass density	6.70	Mg/m³


Magnetic moment? In order: 0.58; 0.00; 0.00 μB/atom.
Fermi-level density of states? In order: 2.474; 1.755; 1.315 states/eV per atom.
V? In order: 270.9; 416.1; 674.6 Å³/cell.